# 1
Below is a relaxed Pm7SmIn2 crystal, with properties calculated at the PBE level.

Values from the calculation:
- size of the total moment (Bohr magnetons per cell) = 0.0
- formation energy (meV/atom) = 321.1
- E (eV/atom) = -4.02

Cell lengths 9.318, 15.834, 5.478 Å; angles 90.00, 90.00, 90.00 degrees
Space group Cmmm (No. 65)
One atom of each set of equivalent atoms:
1 Pm 0.000 0.000 0.000 (multiplicity 2)
2 Pm 0.000 0.274 0.500 (multiplicity 4)
3 Pm 0.181 0.379 0.000 (multiplicity 8)
4 Sm 0.000 0.500 0.500 (multiplicity 2)
5 In 0.000 0.196 0.000 (multiplicity 4)


# 2
Below is a relaxed PmSm15In4 crystal, with properties calculated at the PBE level.

Values from the calculation:
- size of the total moment (Bohr magnetons per cell) = 0.0
- formation energy (meV/atom) = -206.2
- E (eV/atom) = -4.53

Cell lengths 4.941, 4.941, 25.228 Å; angles 90.00, 90.00, 90.00 degrees
Space group P4/mmm (No. 123)
One atom of each set of equivalent atoms:
1 Pm 0.000 0.000 0.000 (multiplicity 1)
2 Sm 0.000 0.500 0.106 (multiplicity 4)
3 Sm 0.000 0.500 0.303 (multiplicity 4)
4 Sm 0.000 0.500 0.500 (multiplicity 2)
5 Sm 0.500 0.500 0.000 (multiplicity 1)
6 Sm 0.500 0.500 0.206 (multiplicity 2)
7 Sm 0.500 0.500 0.402 (multiplicity 2)
8 In 0.000 0.000 0.206 (multiplicity 2)
9 In 0.000 0.000 0.402 (multiplicity 2)


# 3
Below is a relaxed PmSm5In8 crystal, with properties calculated at the PBE level.

Values from the calculation:
- size of the total moment (Bohr magnetons per cell) = 0.0
- formation energy (meV/atom) = -374.3
- E (eV/atom) = -3.96

Cell lengths 9.334, 9.334, 9.358 Å; angles 90.00, 90.00, 90.00 degrees
Space group I-4 (No. 82)
One atom of each set of equivalent atoms:
1 Pm 0.000 0.000 0.000 (multiplicity 2)
2 Sm 0.000 0.500 0.750 (multiplicity 2)
3 Sm 0.126 0.749 0.374 (multiplicity 8)
4 In 0.084 0.835 0.708 (multiplicity 8)
5 In 0.086 0.664 0.040 (multiplicity 8)


# 4
Below is a relaxed Pm12Sm5In2 crystal, with properties calculated at the PBE level.

Values from the calculation:
- size of the total moment (Bohr magnetons per cell) = 0.0
- formation energy (meV/atom) = -18.3
- E (eV/atom) = -4.55

Cell lengths 15.647, 9.395, 8.628 Å; angles 90.00, 93.37, 90.00 degrees
Space group C2/m (No. 12)
One atom of each set of equivalent atoms:
1 Pm 0.056 0.000 0.325 (multiplicity 4)
2 Pm 0.079 0.500 0.884 (multiplicity 4)
3 Pm 0.125 0.194 0.669 (multiplicity 8)
4 Pm 0.146 0.315 0.236 (multiplicity 8)
5 Sm 0.000 0.500 0.500 (multiplicity 2)
6 Sm 0.191 0.000 0.014 (multiplicity 4)
7 Sm 0.232 0.500 0.580 (multiplicity 4)
8 In 0.000 0.176 0.000 (multiplicity 4)


# 5
Below is a relaxed Pm4Sm5In crystal, with properties calculated at the PBE level.

Values from the calculation:
- size of the total moment (Bohr magnetons per cell) = 0.0
- formation energy (meV/atom) = 92.9
- E (eV/atom) = -4.44
- energy above the lowest structure with this stoichiometry (kJ/mol of atoms) = 8.7

Cell lengths 10.738, 10.738, 5.987 Å; angles 90.00, 90.00, 90.00 degrees
Space group I4mm (No. 107)
One atom of each set of equivalent atoms:
1 Pm 0.000 0.312 0.000 (multiplicity 8)
2 Sm 0.000 0.000 0.792 (multiplicity 2)
3 Sm 0.186 0.186 0.506 (multiplicity 8)
4 In 0.000 0.000 0.273 (multiplicity 2)


# 6
Below is a relaxed Pm5SmIn4 crystal, with properties calculated at the PBE level.

Values from the calculation:
- size of the total moment (Bohr magnetons per cell) = 0.0
- formation energy (meV/atom) = -383.9
- E (eV/atom) = -4.33

Cell lengths 3.602, 3.602, 22.785 Å; angles 90.00, 90.00, 90.00 degrees
Space group P4/mmm (No. 123)
One atom of each set of equivalent atoms:
1 Pm 0.000 0.000 0.000 (multiplicity 1)
2 Pm 0.000 0.000 0.192 (multiplicity 2)
3 Pm 0.000 0.000 0.383 (multiplicity 2)
4 Sm 0.500 0.500 0.500 (multiplicity 1)
5 In 0.500 0.500 0.096 (multiplicity 2)
6 In 0.500 0.500 0.289 (multiplicity 2)


# 7
Below is a relaxed Pm5SmIn6 crystal, with properties calculated at the PBE level.

Values from the calculation:
- size of the total moment (Bohr magnetons per cell) = 0.0
- formation energy (meV/atom) = -497.3
- E (eV/atom) = -4.24

Cell lengths 5.442, 16.328, 7.688 Å; angles 90.00, 90.00, 90.00 degrees
Space group Cmmm (No. 65)
One atom of each set of equivalent atoms:
1 Pm 0.000 0.000 0.000 (multiplicity 2)
2 Pm 0.000 0.333 0.000 (multiplicity 4)
3 Pm 0.000 0.333 0.500 (multiplicity 4)
4 Sm 0.000 0.000 0.500 (multiplicity 2)
5 In 0.000 0.166 0.251 (multiplicity 8)
6 In 0.000 0.500 0.251 (multiplicity 4)


# 8
Below is a relaxed Pm12SmIn6 crystal, with properties calculated at the PBE level.

Values from the calculation:
- size of the total moment (Bohr magnetons per cell) = 0.0
- formation energy (meV/atom) = -232.8
- E (eV/atom) = -4.35

Cell lengths 11.7159, 11.7159, 14.6876 Å; angles 90.00, 90.00, 120.00 degrees
Space group R-3 (No. 148, hexagonal axes)
One atom of each set of equivalent atoms:
1 Pm 0.0619 0.8439 0.4101 (multiplicity 18)
2 Pm 0.0705 0.1901 0.8058 (multiplicity 18)
3 Sm 0.0000 0.0000 0.0000 (multiplicity 3)
4 In 0.0287 0.4379 0.7132 (multiplicity 18)


# 9
Below is a relaxed Pm3SmIn3 crystal, with properties calculated at the PBE level.

Values from the calculation:
- size of the total moment (Bohr magnetons per cell) = 0.0
- formation energy (meV/atom) = -338.6
- E (eV/atom) = -4.22
- energy above the lowest structure with this stoichiometry (kJ/mol of atoms) = 0.0

Cell lengths 9.527, 9.527, 9.527 Å; angles 90.00, 90.00, 90.00 degrees
Space group P2_13 (No. 198)
One atom of each set of equivalent atoms:
1 Pm 0.074 0.426 0.574 (multiplicity 4)
2 Pm 0.175 0.175 0.175 (multiplicity 4)
3 Pm 0.175 0.825 0.325 (multiplicity 4)
4 Sm 0.075 0.575 0.925 (multiplicity 4)
5 In 0.000 0.251 0.874 (multiplicity 12)


# 10
Below is a relaxed Pm2Sm5In4 crystal, with properties calculated at the PBE level.

Values from the calculation:
- size of the total moment (Bohr magnetons per cell) = 0.0
- formation energy (meV/atom) = -278.4
- E (eV/atom) = -4.28
- energy above the lowest structure with this stoichiometry (kJ/mol of atoms) = 0.0

Cell lengths 8.746, 3.487, 10.708 Å; angles 90.00, 95.78, 90.00 degrees
Space group P2/m (No. 10)
One atom of each set of equivalent atoms:
1 Pm 0.083 0.000 0.138 (multiplicity 2)
2 Sm 0.161 0.000 0.642 (multiplicity 2)
3 Sm 0.459 0.000 0.167 (multiplicity 2)
4 Sm 0.500 0.000 0.500 (multiplicity 1)
5 In 0.201 0.500 0.382 (multiplicity 2)
6 In 0.250 0.500 0.921 (multiplicity 2)


# 11
Below is a relaxed PmSm3In4 crystal, with properties calculated at the PBE level.

Values from the calculation:
- size of the total moment (Bohr magnetons per cell) = 0.3
- formation energy (meV/atom) = -320.5
- E (eV/atom) = -4.05
- energy above the lowest structure with this stoichiometry (kJ/mol of atoms) = 16.7

Cell lengths 3.529, 7.241, 19.040 Å; angles 90.00, 90.00, 90.00 degrees
Space group Immm (No. 71)
One atom of each set of equivalent atoms:
1 Pm 0.000 0.000 0.000 (multiplicity 2)
2 Sm 0.000 0.000 0.500 (multiplicity 2)
3 Sm 0.000 0.500 0.281 (multiplicity 4)
4 In 0.000 0.291 0.127 (multiplicity 8)


# 12
Below is a relaxed Pm8Sm3In2 crystal, with properties calculated at the PBE level.

Values from the calculation:
- size of the total moment (Bohr magnetons per cell) = 0.0
- formation energy (meV/atom) = -102.5
- E (eV/atom) = -4.54

Cell lengths 6.159, 7.984, 9.408 Å; angles 94.56, 108.80, 104.69 degrees
Space group P-1 (No. 2)
One atom of each set of equivalent atoms:
1 Pm 0.047 0.076 0.207 (multiplicity 2)
2 Pm 0.287 0.547 0.351 (multiplicity 2)
3 Pm 0.343 0.687 0.731 (multiplicity 2)
4 Pm 0.423 0.843 0.111 (multiplicity 2)
5 Sm 0.178 0.376 0.952 (multiplicity 2)
6 Sm 0.500 0.000 0.500 (multiplicity 1)
7 In 0.112 0.237 0.576 (multiplicity 2)


# 13
Below is a relaxed Pm12Sm6In crystal, with properties calculated at the PBE level.

Values from the calculation:
- size of the total moment (Bohr magnetons per cell) = 0.0
- formation energy (meV/atom) = 60.6
- E (eV/atom) = -4.57
- energy above the lowest structure with this stoichiometry (kJ/mol of atoms) = 0.0

Cell lengths 12.1023, 12.1023, 15.3144 Å; angles 90.00, 90.00, 120.00 degrees
Space group R-3 (No. 148, hexagonal axes)
One atom of each set of equivalent atoms:
1 Pm 0.0025 0.1738 0.3137 (multiplicity 18)
2 Pm 0.0464 0.8486 0.9160 (multiplicity 18)
3 Sm 0.0188 0.4287 0.1863 (multiplicity 18)
4 In 0.0000 0.0000 0.5000 (multiplicity 3)


# 14
Below is a relaxed Pm5SmIn2 crystal, with properties calculated at the PBE level.

Values from the calculation:
- size of the total moment (Bohr magnetons per cell) = 0.0
- formation energy (meV/atom) = -275.7
- E (eV/atom) = -4.52
- energy above the lowest structure with this stoichiometry (kJ/mol of atoms) = 0.0

Cell lengths 7.004, 14.011, 4.955 Å; angles 90.00, 90.00, 90.00 degrees
Space group Pbam (No. 55)
One atom of each set of equivalent atoms:
1 Pm 0.000 0.000 0.000 (multiplicity 2)
2 Pm 0.001 0.250 0.000 (multiplicity 4)
3 Pm 0.250 0.375 0.500 (multiplicity 4)
4 Sm 0.000 0.500 0.000 (multiplicity 2)
5 In 0.249 0.625 0.500 (multiplicity 4)


# 15
Below is a relaxed Pm6Sm2In crystal, with properties calculated at the PBE level.

Values from the calculation:
- size of the total moment (Bohr magnetons per cell) = 0.0
- formation energy (meV/atom) = 31.8
- E (eV/atom) = -4.49
- energy above the lowest structure with this stoichiometry (kJ/mol of atoms) = 4.4

Cell lengths 15.167, 8.751, 9.258 Å; angles 90.00, 99.63, 90.00 degrees
Space group C2/c (No. 15)
One atom of each set of equivalent atoms:
1 Pm 0.084 0.190 0.123 (multiplicity 8)
2 Pm 0.112 0.446 0.837 (multiplicity 8)
3 Pm 0.140 0.230 0.529 (multiplicity 8)
4 Sm 0.219 0.083 0.856 (multiplicity 8)
5 In 0.000 0.123 0.750 (multiplicity 4)


# 16
Below is a relaxed Pm3Sm8In2 crystal, with properties calculated at the PBE level.

Values from the calculation:
- size of the total moment (Bohr magnetons per cell) = 0.0
- formation energy (meV/atom) = -64.5
- E (eV/atom) = -4.49
- energy above the lowest structure with this stoichiometry (kJ/mol of atoms) = 0.0

Cell lengths 6.449, 7.282, 9.646 Å; angles 90.89, 90.82, 108.65 degrees
Space group P-1 (No. 2)
One atom of each set of equivalent atoms:
1 Pm 0.000 0.000 0.000 (multiplicity 1)
2 Pm 0.487 0.743 0.502 (multiplicity 2)
3 Sm 0.036 0.876 0.353 (multiplicity 2)
4 Sm 0.045 0.371 0.318 (multiplicity 2)
5 Sm 0.394 0.472 0.826 (multiplicity 2)
6 Sm 0.434 0.977 0.810 (multiplicity 2)
7 In 0.180 0.656 0.064 (multiplicity 2)


# 17
Below is a relaxed Pm5Sm4In2 crystal, with properties calculated at the PBE level.

Values from the calculation:
- size of the total moment (Bohr magnetons per cell) = 0.0
- formation energy (meV/atom) = -65.3
- E (eV/atom) = -4.44

Cell lengths 23.490, 3.576, 8.466 Å; angles 90.00, 95.08, 90.00 degrees
Space group C2/m (No. 12)
One atom of each set of equivalent atoms:
1 Pm 0.000 0.000 0.000 (multiplicity 2)
2 Pm 0.127 0.500 0.016 (multiplicity 4)
3 Pm 0.181 0.500 0.482 (multiplicity 4)
4 Sm 0.037 0.500 0.350 (multiplicity 4)
5 Sm 0.231 0.000 0.823 (multiplicity 4)
6 In 0.087 0.000 0.683 (multiplicity 4)


# 18
Below is a relaxed PmSmIn2 crystal, with properties calculated at the PBE level.

Values from the calculation:
- size of the total moment (Bohr magnetons per cell) = 0.0
- formation energy (meV/atom) = -319.7
- E (eV/atom) = -4.06

Cell lengths 3.8069, 3.8069, 29.3246 Å; angles 90.00, 90.00, 120.00 degrees
Space group R-3m (No. 166, hexagonal axes)
One atom of each set of equivalent atoms:
1 Pm 0.0000 0.0000 0.0000 (multiplicity 3)
2 Sm 0.0000 0.0000 0.5000 (multiplicity 3)
3 In 0.0000 0.0000 0.2496 (multiplicity 6)


# 19
Below is a relaxed Pm2SmIn9 crystal, with properties calculated at the PBE level.

Values from the calculation:
- size of the total moment (Bohr magnetons per cell) = 0.0
- formation energy (meV/atom) = -465.2
- E (eV/atom) = -3.70

Cell lengths 4.692, 4.692, 14.082 Å; angles 90.00, 90.00, 90.00 degrees
Space group P4/mmm (No. 123)
One atom of each set of equivalent atoms:
1 Pm 0.000 0.000 0.167 (multiplicity 2)
2 Sm 0.000 0.000 0.500 (multiplicity 1)
3 In 0.000 0.500 0.000 (multiplicity 2)
4 In 0.000 0.500 0.334 (multiplicity 4)
5 In 0.500 0.500 0.167 (multiplicity 2)
6 In 0.500 0.500 0.500 (multiplicity 1)